## P
Crystalline CoPtAu2 at its relaxed geometry, computed with PBEsol.

```
4
Lattice="1.386 0.800 9.027 -1.386 0.800 9.027 0.000 -1.601 9.027" Properties=species:S:1:pos:R:3 pbc="T T T"
Co 0.000 0.000 0.000
Pt 0.000 0.000 20.036
Au 0.000 0.000 6.887
Au 0.000 0.000 13.426
```



## Q
Crystalline CoPtAu2 at its relaxed geometry, computed with PBEsol.

```
4
Lattice="2.771 0.000 0.000 0.000 2.771 0.000 0.000 0.000 7.764" Properties=species:S:1:pos:R:3 pbc="T T T"
Co 0.000 0.000 0.000
Pt 1.386 1.386 1.635
Au 0.000 0.000 3.745
Au 1.386 1.386 5.923
```



## R
Crystalline CoPtAu2 at its relaxed geometry, computed with PBEsol.

```
4
Lattice="2.801 0.000 0.000 0.000 3.779 0.000 0.000 0.000 5.645" Properties=species:S:1:pos:R:3 pbc="T T T"
Co 0.000 0.000 0.000
Pt 0.000 0.000 2.823
Au 1.400 1.890 1.348
Au 1.400 1.890 4.297
```



Which one sits at the top of the stability order? Q does.



## P
Crystalline CoRhAu at its relaxed geometry, computed with PBEsol.

```
3
Lattice="0.000 2.859 2.859 2.859 0.000 2.859 2.859 2.859 0.000" Properties=species:S:1:pos:R:3 pbc="T T T"
Co 0.000 0.000 0.000
Rh 1.430 1.430 1.430
Au 4.289 4.289 4.289
```



## Q
Crystalline CoRhAu at its relaxed geometry, computed with PBEsol.

```
3
Lattice="0.000 2.932 2.932 2.932 0.000 2.932 2.932 2.932 0.000" Properties=species:S:1:pos:R:3 pbc="T T T"
Co 0.000 0.000 0.000
Rh 2.932 2.932 2.932
Au 4.398 4.398 4.398
```



Which one sits at the top of the stability order? P does.



## P
Crystalline TaCoAu at its relaxed geometry, computed with PBEsol.

```
3
Lattice="-1.608 1.608 4.292 1.608 -1.608 4.292 1.608 1.608 -4.292" Properties=species:S:1:pos:R:3 pbc="T T T"
Ta 0.000 0.000 0.000
Co 0.000 0.000 5.422
Au 0.000 0.000 2.680
```



## Q
Crystalline TaCoAu at its relaxed geometry, computed with PBEsol.

```
3
Lattice="0.000 2.985 2.985 2.985 0.000 2.985 2.985 2.985 0.000" Properties=species:S:1:pos:R:3 pbc="T T T"
Ta 0.000 0.000 0.000
Co 2.985 2.985 2.985
Au 4.477 4.477 4.477
```



Which one sits at the top of the stability order? P does.



## P
Crystalline Ta2CoAu at its relaxed geometry, computed with PBEsol.

```
4
Lattice="3.882 0.000 0.000 0.000 3.882 0.000 0.000 0.000 4.034" Properties=species:S:1:pos:R:3 pbc="T T T"
Ta 0.000 1.941 0.000
Ta 1.941 0.000 0.000
Co 0.000 0.000 2.017
Au 1.941 1.941 2.017
```



## Q
Crystalline Ta2CoAu at its relaxed geometry, computed with PBEsol.

```
4
Lattice="3.171 0.000 0.000 0.000 3.171 0.000 0.000 0.000 6.180" Properties=species:S:1:pos:R:3 pbc="T T T"
Ta 0.000 0.000 0.000
Ta 1.585 1.585 1.812
Co 1.585 1.585 5.014
Au 0.000 0.000 3.422
```



Which one sits at the top of the stability order? Q does.



## P
Crystalline Co2TcAu at its relaxed geometry, computed with PBEsol.

```
4
Lattice="2.680 -4.312 0.000 2.680 4.312 0.000 -1.116 0.000 2.303" Properties=species:S:1:pos:R:3 pbc="T T T"
Co 1.340 2.156 0.000
Co 1.340 -2.156 0.000
Tc -0.558 0.000 1.151
Au 2.122 0.000 1.151
```



## Q
Crystalline Co2TcAu at its relaxed geometry, computed with PBEsol.

```
4
Lattice="-1.338 2.160 4.456 1.338 -2.160 4.456 1.338 2.160 -4.456" Properties=species:S:1:pos:R:3 pbc="T T T"
Co 0.000 0.000 0.000
Co 0.000 2.160 2.551
Tc 1.338 0.000 2.092
Au 0.000 0.000 4.650
```



Which one sits at the top of the stability order? Q does.



## P
Crystalline CoTe2Au at its relaxed geometry, computed with PBEsol.

```
4
Lattice="1.864 1.076 7.756 -1.864 1.076 7.756 0.000 -2.152 7.756" Properties=species:S:1:pos:R:3 pbc="T T T"
Co 0.000 0.000 0.000
Te 0.000 0.000 9.045
Te 0.000 0.000 14.223
Au 0.000 0.000 11.634
```



## Q
Crystalline CoTe2Au at its relaxed geometry, computed with PBEsol.

```
4
Lattice="-1.711 2.121 5.815 1.711 -2.121 5.815 1.711 2.121 -5.815" Properties=species:S:1:pos:R:3 pbc="T T T"
Co 0.000 0.000 0.000
Te 1.711 0.000 1.834
Te 0.000 2.121 3.981
Au 0.000 0.000 5.815
```



Which one sits at the top of the stability order? P does.



## P
Crystalline MnCr2Au at its relaxed geometry, computed with PBEsol.

```
4
Lattice="3.051 0.000 0.000 0.000 3.051 0.000 0.000 0.000 5.462" Properties=species:S:1:pos:R:3 pbc="T T T"
Mn 0.000 0.000 0.000
Cr 1.526 1.526 1.039
Cr 1.526 1.526 4.424
Au 0.000 0.000 2.731
```



## Q
Crystalline MnCr2Au at its relaxed geometry, computed with PBEsol.

```
4
Lattice="0.000 3.054 3.054 3.054 0.000 3.054 3.054 3.054 0.000" Properties=species:S:1:pos:R:3 pbc="T T T"
Mn 0.000 0.000 0.000
Cr 1.527 1.527 1.527
Cr 4.580 4.580 4.580
Au 3.054 3.054 3.054
```



Which one sits at the top of the stability order? P does.



## P
Crystalline CrMoAu at its relaxed geometry, computed with PBEsol.

```
3
Lattice="-1.333 1.333 6.187 1.333 -1.333 6.187 1.333 1.333 -6.187" Properties=species:S:1:pos:R:3 pbc="T T T"
Cr 0.000 0.000 0.000
Mo 0.000 0.000 8.118
Au 0.000 0.000 4.150
```



## Q
Crystalline CrMoAu at its relaxed geometry, computed with PBEsol.

```
3
Lattice="0.000 2.159 6.483 1.570 0.000 6.483 1.570 2.159 0.000" Properties=species:S:1:pos:R:3 pbc="T T T"
Cr 0.000 0.000 0.000
Mo 1.570 2.159 8.390
Au 1.570 2.159 4.286
```



Which one sits at the top of the stability order? Q does.



## P
Crystalline Cr2MoAu at its relaxed geometry, computed with PBEsol.

```
4
Lattice="-1.940 1.940 3.618 1.940 -1.940 3.618 1.940 1.940 -3.618" Properties=species:S:1:pos:R:3 pbc="T T T"
Cr 1.940 0.000 1.809
Cr 0.000 1.940 1.809
Mo 0.000 0.000 0.000
Au 0.000 0.000 3.618
```



## Q
Crystalline Cr2MoAu at its relaxed geometry, computed with PBEsol.

```
4
Lattice="-1.606 2.091 4.052 1.606 -2.091 4.052 1.606 2.091 -4.052" Properties=species:S:1:pos:R:3 pbc="T T T"
Cr 0.000 0.000 0.000
Cr 0.000 2.091 2.329
Mo 1.606 0.000 1.984
Au 0.000 0.000 4.211
```



Which one sits at the top of the stability order? Q does.



## P
Crystalline CrRuAu at its relaxed geometry, computed with PBEsol.

```
3
Lattice="2.696 0.000 0.000 -1.348 2.335 0.000 0.000 0.000 6.651" Properties=species:S:1:pos:R:3 pbc="T T T"
Cr 0.000 0.000 0.000
Ru 0.000 1.557 4.746
Au 1.348 0.778 2.290
```



## Q
Crystalline CrRuAu at its relaxed geometry, computed with PBEsol.

```
3
Lattice="0.000 2.988 2.988 2.988 0.000 2.988 2.988 2.988 0.000" Properties=species:S:1:pos:R:3 pbc="T T T"
Cr 0.000 0.000 0.000
Ru 2.988 2.988 2.988
Au 1.494 1.494 1.494
```



Which one sits at the top of the stability order? P does.



## P
Crystalline CrSi2Au at its relaxed geometry, computed with PBEsol.

```
4
Lattice="-1.904 1.904 3.745 1.904 -1.904 3.745 1.904 1.904 -3.745" Properties=species:S:1:pos:R:3 pbc="T T T"
Cr 0.000 0.000 0.000
Si 1.904 0.000 1.873
Si 0.000 1.904 1.873
Au 0.000 0.000 3.745
```



## Q
Crystalline CrSi2Au at its relaxed geometry, computed with PBEsol.

```
4
Lattice="0.000 3.009 3.009 3.009 0.000 3.009 3.009 3.009 0.000" Properties=species:S:1:pos:R:3 pbc="T T T"
Cr 0.000 0.000 0.000
Si 1.504 1.504 1.504
Si 4.513 4.513 4.513
Au 3.009 3.009 3.009
```



## R
Crystalline CrSi2Au at its relaxed geometry, computed with PBEsol.

```
4
Lattice="-1.804 1.804 4.211 1.804 -1.804 4.211 1.804 1.804 -4.211" Properties=species:S:1:pos:R:3 pbc="T T T"
Cr 0.000 0.000 0.000
Si 0.000 0.000 4.211
Si 0.000 1.804 2.106
Au 1.804 0.000 2.106
```



Which one sits at the top of the stability order? R does.



## P
Crystalline Ta2CrAu at its relaxed geometry, computed with PBEsol.

```
4
Lattice="2.792 0.000 0.000 0.000 4.032 0.000 -0.902 0.000 5.635" Properties=species:S:1:pos:R:3 pbc="T T T"
Ta 0.002 0.000 1.524
Ta 1.889 0.000 4.112
Cr 0.945 2.016 2.818
Au 1.396 2.016 0.000
```



## Q
Crystalline Ta2CrAu at its relaxed geometry, computed with PBEsol.

```
4
Lattice="2.840 0.000 0.000 0.000 4.502 0.000 -0.642 0.000 5.006" Properties=species:S:1:pos:R:3 pbc="T T T"
Ta 0.000 0.000 0.000
Ta 0.226 2.251 3.396
Cr 1.361 0.000 2.668
Au 1.574 2.251 1.017
```



## R
Crystalline Ta2CrAu at its relaxed geometry, computed with PBEsol.

```
4
Lattice="-1.968 1.968 4.129 1.968 -1.968 4.129 1.968 1.968 -4.129" Properties=species:S:1:pos:R:3 pbc="T T T"
Ta 0.000 0.000 0.000
Ta 0.000 1.968 2.064
Cr 1.968 0.000 2.064
Au 0.000 0.000 4.129
```



Which one sits at the top of the stability order? P does.